# KV2AgO6

A relaxed KV2AgO6 crystal (PBE+U, Alexandria).

Summary:
calculated volume = 16.06 A^3/atom
energy above the most stable polymorph in this dataset = 0 meV/atom
total energy = -6.534 eV/atom
size of the total moment = 0.0 μB per cell

Cell lengths 10.9084, 10.2119, 5.9423 Å; angles 90.00, 104.00, 90.00 degrees
Last column: nearest neighbours and their distance in Å.
Space group C2/c (No. 15)
Asymmetric unit:
K1 0.0000 0.2016 0.2500 x4  6 O 2.72-2.93
V1 0.2105 0.0853 0.7713 x8  4 O 1.68-1.83
Ag1 0.0000 0.4056 0.7500 x4  6 O 2.43-2.50
O1 0.1298 0.4142 0.1595 x8  1 V 1.69
O2 0.1520 0.2368 0.7152 x8  1 V 1.68
O3 0.1527 0.0109 0.0068 x8  2 V 1.83